VASP calculation (PBE+U) on an optimized crystal structure of V6Cu11O26.

a = 8.1941 Å, b = 8.3266 Å, c = 8.3309 Å
α = 106.30°, β = 91.73°, γ = 107.16°
Positions (direct):
V: 0.0664 0.2557 0.4075
V: 0.2352 0.5627 0.9141
V: 0.4180 0.0618 0.3101
V: 0.5820 0.9382 0.6899
V: 0.7648 0.4373 0.0859
V: 0.9336 0.7443 0.5925
Cu: 0.0009 0.1615 0.7941
Cu: 0.2171 0.6437 0.3363
Cu: 0.2258 0.9883 0.9187
Cu: 0.3494 0.3529 0.1316
Cu: 0.3705 0.2446 0.7124
Cu: 0.5000 0.5000 0.5000
Cu: 0.6295 0.7554 0.2876
Cu: 0.6506 0.6471 0.8684
Cu: 0.7742 0.0117 0.0813
Cu: 0.7829 0.3563 0.6637
Cu: 0.9991 0.8385 0.2059
O: 0.0012 0.0723 0.2147
O: 0.0327 0.4050 0.8357
O: 0.1072 0.6781 0.5355
O: 0.1285 0.1779 0.5550
O: 0.2163 0.7624 0.9235
O: 0.2322 0.8881 0.3131
O: 0.2332 0.2199 0.9019
O: 0.2579 0.4255 0.3744
O: 0.3148 0.5723 0.1240
O: 0.3818 0.1297 0.1330
O: 0.3876 0.5059 0.7806
O: 0.4171 0.0267 0.7148
O: 0.4744 0.2520 0.4969
O: 0.5256 0.7480 0.5031
O: 0.5829 0.9733 0.2852
O: 0.6124 0.4941 0.2194
O: 0.6182 0.8703 0.8670
O: 0.6852 0.4277 0.8760
O: 0.7421 0.5745 0.6256
O: 0.7668 0.7801 0.0981
O: 0.7678 0.1119 0.6869
O: 0.7837 0.2376 0.0765
O: 0.8715 0.8221 0.4450
O: 0.8928 0.3219 0.4645
O: 0.9673 0.5950 0.1643
O: 0.9988 0.9277 0.7853

Output
final energy: -0.4582 Ry/atom
calculated volume: 12.03 A^3/atom
M_tot: 0.157 μB per atom